[1]
A plane-wave DFT calculation with PBE was carried out for a relaxed structure of PaZnCo2.

Its formation energy from the elements is -0.15 eV/atom. The crystal system is tetragonal.

Cell: 4.2684 4.2684 3.3475 Å, 90.00 90.00 90.00°
Space group P4/mmm (No. 123)
Asymmetric unit:
Pa 0.0000 0.0000 0.0000 [1 per cell]
Zn 0.5000 0.5000 0.0000 [1 per cell]
Co 0.0000 0.5000 0.5000 [2 per cell]

[2]
A plane-wave DFT calculation with PBE was carried out for a relaxed structure of Rb2BaLiGe.

Its formation energy from the elements is 1.00 eV/atom. The crystal system is tetragonal.

Cell: 7.2677 7.2677 5.4697 Å, 90.00 90.00 90.00°
Space group P4/mmm (No. 123)
Asymmetric unit:
Rb 0.0000 0.5000 0.0000 [2 per cell]
Ba 0.0000 0.0000 0.0000 [1 per cell]
Li 0.0000 0.0000 0.5000 [1 per cell]
Ge 0.5000 0.5000 0.5000 [1 per cell]

no.,density (g/cm3)
1,11.28
2,2.23